# Ti2NbP

An optimized crystal structure of Ti2NbP (GGA-PBE, the Alexandria database).

Cell: 7.437 7.437 4.981 Å, 90.00 90.00 90.00°
Space group I-42d (No. 122)
Unique sites:
Ti: 0.192 0.250 0.125 (multiplicity 8)
Nb: 0.000 0.000 0.500 (multiplicity 4)
P: 0.000 0.000 0.000 (multiplicity 4)

Computed properties:
The value obtained for the calculated density is 5295 kg/m3. The calculation puts the total moment at 0.0000 μB per atom. Its formation energy is -75 kJ/mol of formula units.